# 1
The following is a DFT calculation (GGA-PBE) of a geometry-optimized Pm3SmPt3 structure.

calculated formation energy = -921 meV/atom
final energy = -6.220 eV/atom
N(E_F) = 10.60 states/eV/cell

The structure in extended XYZ format:
```
14
Lattice="4.712 -5.363 0.000 4.712 5.363 0.000 -0.110 0.000 7.266" Properties=species:S:1:pos:R:3 pbc="T T T"
Pm 4.712 3.464 0.000
Pm 4.657 2.712 3.633
Pm 3.136 0.000 0.891
Pm 6.178 0.000 6.375
Pm 4.657 -2.712 3.633
Pm 4.712 -3.464 0.000
Sm 2.360 0.000 4.494
Sm 6.954 0.000 2.772
Pt 2.344 2.561 5.684
Pt 0.531 0.000 2.231
Pt 2.344 -2.561 5.684
Pt 6.970 2.561 1.583
Pt 8.783 0.000 5.035
Pt 6.970 -2.561 1.583
```

# 2
The following is a DFT calculation (GGA-PBE) of a geometry-optimized Pm3Sm4Pt4 structure.

calculated formation energy = -811 meV/atom
final energy = -6.020 eV/atom
N(E_F) = 12.04 states/eV/cell

The structure in extended XYZ format:
```
11
Lattice="-2.333 3.943 7.941 2.333 -3.943 7.941 2.333 3.943 -7.941" Properties=species:S:1:pos:R:3 pbc="T T T"
Pm 0.000 0.000 0.000
Pm 2.333 0.000 6.367
Pm 0.000 3.943 1.574
Sm 2.333 1.686 -2.690
Sm 2.333 1.686 2.690
Sm 0.000 2.257 5.251
Sm 0.000 2.257 10.631
Pt 0.000 0.000 3.281
Pt 2.333 2.508 0.000
Pt 0.000 1.435 7.941
Pt 0.000 0.000 12.600
```

# 3
The following is a DFT calculation (GGA-PBE) of a geometry-optimized Pm2Sm2Pt3 structure.

calculated formation energy = -951 meV/atom
final energy = -6.245 eV/atom
N(E_F) = 4.40 states/eV/cell

The structure in extended XYZ format:
```
7
Lattice="6.829 -2.118 0.000 6.829 2.118 0.000 -1.428 0.000 7.147" Properties=species:S:1:pos:R:3 pbc="T T T"
Pm 1.170 0.000 2.813
Pm 11.060 0.000 4.334
Sm 4.728 0.000 1.020
Sm 7.501 0.000 6.127
Pt 2.458 0.000 5.411
Pt 6.115 0.000 3.574
Pt 9.772 0.000 1.736
```

# 4
The following is a DFT calculation (GGA-PBE) of a geometry-optimized Pm5SmPt2 structure.

calculated formation energy = -526 meV/atom
final energy = -5.595 eV/atom
N(E_F) = 8.74 states/eV/cell

The structure in extended XYZ format:
```
8
Lattice="-2.017 3.794 8.143 2.017 -3.794 8.143 2.017 3.794 -8.143" Properties=species:S:1:pos:R:3 pbc="T T T"
Pm 0.000 0.000 0.000
Pm 2.017 1.935 -2.496
Pm 2.017 1.935 2.496
Pm 0.000 1.859 5.647
Pm 0.000 1.859 10.639
Sm 0.000 3.794 0.000
Pt 0.000 0.000 3.256
Pt 0.000 0.000 13.029
```

# 5
The following is a DFT calculation (GGA-PBE) of a geometry-optimized PmSmPt2 structure.

calculated formation energy = -1089 meV/atom
final energy = -6.477 eV/atom
N(E_F) = 3.85 states/eV/cell

The structure in extended XYZ format:
```
4
Lattice="0.000 3.578 3.578 3.578 0.000 3.578 3.578 3.578 0.000" Properties=species:S:1:pos:R:3 pbc="T T T"
Pm 0.000 0.000 0.000
Sm 3.578 3.578 3.578
Pt 1.789 1.789 1.789
Pt 5.366 5.366 5.366
```

# 6
The following is a DFT calculation (GGA-PBE) of a geometry-optimized Pm2SmPt structure.

calculated formation energy = -644 meV/atom
final energy = -5.709 eV/atom
N(E_F) = 15.94 states/eV/cell

The structure in extended XYZ format:
```
16
Lattice="7.204 0.000 0.000 0.000 9.973 0.000 0.000 0.000 6.612" Properties=species:S:1:pos:R:3 pbc="T T T"
Pm 1.291 0.615 1.149
Pm 1.291 4.372 1.149
Pm 2.310 5.601 4.455
Pm 2.310 9.358 4.455
Pm 4.893 0.615 2.156
Pm 4.893 4.372 2.156
Pm 5.912 5.601 5.462
Pm 5.912 9.358 5.462
Sm 0.197 2.493 4.229
Sm 3.405 7.480 0.924
Sm 3.799 2.493 5.688
Sm 7.007 7.480 2.382
Pt 0.836 7.480 6.212
Pt 2.766 2.493 2.907
Pt 4.438 7.480 3.705
Pt 6.368 2.493 0.399
```

# 7
The following is a DFT calculation (GGA-PBE) of a geometry-optimized PmSmSnPt structure.

calculated formation energy = -796 meV/atom
final energy = -5.674 eV/atom
N(E_F) = 1.64 states/eV/cell

The structure in extended XYZ format:
```
4
Lattice="0.000 3.724 3.724 3.724 0.000 3.724 3.724 3.724 0.000" Properties=species:S:1:pos:R:3 pbc="T T T"
Pm 0.000 0.000 0.000
Sm 3.724 3.724 3.724
Sn 5.586 5.586 5.586
Pt 1.862 1.862 1.862
```

# 8
The following is a DFT calculation (GGA-PBE) of a geometry-optimized PmSmTePt structure.

final energy = -5.930 eV/atom
ΔE_f (raw) = -1.267 eV/atom
N(E_F) = 1.98 states/eV/cell

The structure in extended XYZ format:
```
4
Lattice="2.115 1.221 7.497 -2.115 1.221 7.497 0.000 -2.442 7.497" Properties=species:S:1:pos:R:3 pbc="T T T"
Pm 0.000 0.000 0.000
Sm 0.000 0.000 11.788
Te 0.000 0.000 17.148
Pt 0.000 0.000 5.883
```

Question: Which value of N(E_F) does entry 5 give?
Answer: 3.85 states/eV/cell

Question: Which of these has the highest final energy?
Answer: Pm5SmPt2